First-principles (PBE) data for crystalline LiCaCr2 at its relaxed geometry, as listed in Alexandria via LeMat-Bulk.

```
LiCaCr2
1.0
-1.424 -3.190 2.534
2.026 -0.876 3.709
-2.951 2.058 4.612
Li Cr Ca
1 2 1
Direct
0.468 0.468 0.597
0.049 0.049 0.853
0.729 0.729 0.814
0.255 0.255 0.236
```

* energy relative to the lowest polymorph listed for this composition: 74 meV/atom
* ΔH_f (0 K): 484 meV per atom
* electronic total energy: -0.1950 Ha/atom

***

First-principles (PBE) data for crystalline LiCaCr2 at its relaxed geometry, as listed in Alexandria via LeMat-Bulk.

```
LiCaCr2
1.0
10.063 0.023 0.014
9.547 3.183 0.014
9.547 1.561 2.774
Li Cr Ca
1 2 1
Direct
0.250 0.250 0.250
0.995 0.995 0.995
0.505 0.505 0.505
0.750 0.750 0.750
```

* energy relative to the lowest polymorph listed for this composition: 491 meV/atom
* ΔH_f (0 K): 901 meV per atom
* electronic total energy: -0.1797 Ha/atom

***

First-principles (PBE) data for crystalline Li2CaMgCr at its relaxed geometry, as listed in Alexandria via LeMat-Bulk.

```
Li2CaMgCr
1.0
-4.948 0.184 -0.013
-0.079 -2.412 -3.987
-0.164 -4.233 2.564
Li Cr Mg Ca
2 1 1 1
Direct
0.000 0.000 0.500
0.500 0.000 0.000
0.000 0.500 0.000
0.500 0.500 0.500
0.000 0.000 0.000
```

* ΔH_f (0 K): 1331 meV per atom
* electronic total energy: -0.0764 Ha/atom

***

First-principles (PBE) data for crystalline Li2CaCr2N4 at its relaxed geometry, as listed in Alexandria via LeMat-Bulk.

```
Li2CaCr2N4
1.0
-1.114 -1.535 2.624
6.445 -2.835 -0.920
-3.482 7.004 2.620
Li Cr N Ca
2 2 4 1
Direct
0.878 0.757 0.488
0.122 0.243 0.512
0.666 0.332 0.959
0.334 0.668 0.041
0.749 0.499 0.850
0.471 0.942 0.744
0.251 0.501 0.150
0.529 0.058 0.256
0.000 0.000 0.000
```

* ΔE_f (raw): -0.636 eV/atom
* electronic total energy: -0.2617 Ha/atom

***

First-principles (PBE) data for crystalline LiCa2CrN at its relaxed geometry, as listed in Alexandria via LeMat-Bulk.

```
LiCa2CrN
1.0
-2.726 2.420 -3.698
-4.356 -0.743 2.725
0.543 3.323 1.774
Ca N Li Cr
2 1 1 1
Direct
0.000 0.500 0.000
0.500 0.000 0.000
0.000 0.000 0.000
0.500 0.500 0.500
0.000 0.000 0.500
```

* ΔE_f (raw): -0.277 eV/atom
* electronic total energy: -0.1856 Ha/atom

***

First-principles (PBE) data for crystalline LiCa2Cr2N4 at its relaxed geometry, as listed in Alexandria via LeMat-Bulk.

```
LiCa2Cr2N4
1.0
3.189 0.000 0.000
-1.594 6.245 0.020
0.000 -2.155 5.329
Cr N Li Ca
2 4 1 2
Direct
0.674 0.348 0.985
0.326 0.652 0.015
0.533 0.067 0.771
0.222 0.444 0.197
0.778 0.556 0.803
0.467 0.933 0.229
0.000 0.000 0.000
0.123 0.246 0.499
0.877 0.754 0.501
```

* ΔE_f (raw): -0.714 eV/atom
* electronic total energy: -0.2650 Ha/atom

***

The evaluated total moment for the records listed, in turn: 0.25; 8.24; 0.00; 0.00; 2.88; 0.00 μB per cell.